This record from Alexandria describes an optimized crystal structure of NiH2W2. The functional is PBE.

Cell lengths 3.2906, 3.2906, 9.0823 Å; angles 90.00, 90.00, 90.00 degrees
Last column: nearest neighbours and their distance in Å.
Space group I4/mmm (No. 139)
One atom of each set of equivalent atoms:
Ni  0.0000  0.0000  0.0000 (multiplicity 2)  8 W 2.66, 8 H 2.80
H  0.0000  0.5000  0.2500 (multiplicity 4)  4 W 1.91
W  0.0000  0.0000  0.3578 (multiplicity 4)  4 H 1.91

**Density**: 14.5 g/cm3
**Final energy**: -7.389 eV per atom
**Distance to the lowest polymorph of the same formula**: 0 meV per atom

This record from Alexandria describes an optimized crystal structure of MnGeSb3. The functional is PBE.

Cell lengths 4.9486, 4.9486, 4.9486 Å; angles 90.00, 90.00, 90.00 degrees
Last column: nearest neighbours and their distance in Å.
Space group Pm-3m (No. 221)
One atom of each set of equivalent atoms:
Mn  0.0000  0.0000  0.0000 (multiplicity 1)  6 Sb 2.47
Ge  0.5000  0.5000  0.5000 (multiplicity 1)  12 Sb 3.50
Sb  0.0000  0.0000  0.5000 (multiplicity 3)  2 Mn 2.47

**Density**: 6.8 g/cm3
**Final energy**: -4.711 eV per atom
**Formation energy (no corrections)**: 0.520 eV per atom
**Distance to the lowest polymorph of the same formula**: 0 meV per atom

This record from Alexandria describes an optimized crystal structure of CsRbZnAs. The functional is PBE.

Cell lengths 12.5362, 5.9408, 4.2856 Å; angles 90.00, 109.81, 90.00 degrees
Last column: nearest neighbours and their distance in Å.
Space group Cm (No. 8)
One atom of each set of equivalent atoms:
Cs  0.0000  0.0000  0.0000 (multiplicity 2)  2 Rb 3.73, 4 As 3.89-3.97, 4 Zn 3.92-3.93
Rb  0.1919  0.5000  0.1950 (multiplicity 2)  2 Zn 3.70, 2 Cs 3.73, 4 As 3.79-3.80
Zn  0.3796  0.0000  0.3790 (multiplicity 2)  2 As 2.46-2.47
As  0.2762  0.0000  0.7767 (multiplicity 2)  2 Zn 2.46-2.47

**Density**: 4.0 g/cm3
**Final energy**: -2.167 eV per atom
**DFT formation energy**: -0.231 eV/atom
**Distance to the lowest polymorph of the same formula**: 51 meV per atom